The following is a meta-GGA SCAN calculation of TcRu2W at its PBEsol-relaxed geometry, from Alexandria via LeMat-Bulk.

Structure (POSCAR):
```
TcRu2W
1.0
2.721 0.000 0.000
0.000 3.802 0.000
0.000 0.000 5.443
Tc W Ru
1 1 2
Direct
0.500 0.500 0.000 Tc
0.500 0.500 0.500 W
0.000 0.000 0.757 Ru
0.000 0.000 0.243 Ru
```

Output
Space group: No. 47
Energy above the lowest structure with this stoichiometry: 0.018 eV per atom
Mass density: 14.3 g/cm3
ΔH_f (0 K): 33 meV/atom
Total moment: 0.00 Bohr magnetons per cell